First-principles (PBE-GGA) data for a relaxed Al2FeB10 crystal, as listed in the Alexandria database.

Lattice parameters (Å, degrees): 4.0936 5.6366 11.3747 90.00 90.00 90.00
Element x y z (fractional)
B (0.0000, 0.8346, 0.3015)
B (0.7049, 0.7032, 0.3841)
Fe (0.0000, 0.5000, 0.5000)
B (0.0000, 0.9769, 0.8117)
B (0.7049, 0.2032, 0.1159)
B (0.0000, 0.4769, 0.6883)
B (0.0000, 0.8773, 0.4577)
B (0.7049, 0.7968, 0.8841)
B (0.0000, 0.0231, 0.1883)
B (0.2951, 0.2032, 0.1159)
B (0.0000, 0.6227, 0.9577)
B (0.0000, 0.6654, 0.8015)
B (0.0000, 0.5231, 0.3117)
B (0.2951, 0.7032, 0.3841)
B (0.2951, 0.2968, 0.6159)
Al (0.5000, 0.3227, 0.4235)
B (0.0000, 0.3346, 0.1985)
B (0.2951, 0.7968, 0.8841)
B (0.0000, 0.1227, 0.5423)
Al (0.5000, 0.1773, 0.9235)
Fe (0.0000, 0.0000, 0.0000)
Al (0.5000, 0.8227, 0.0765)
B (0.0000, 0.1654, 0.6985)
B (0.0000, 0.3773, 0.0423)
Al (0.5000, 0.6773, 0.5765)
B (0.7049, 0.2968, 0.6159)

## Properties
- formation enthalpy at 0 K (eV/atom) = 0.14
- final energy (eV per atom) = -6.222



First-principles (PBE-GGA) data for a relaxed AlFe3B crystal, as listed in the Alexandria database.

Lattice parameters (Å, degrees): 4.2725 4.2725 4.2725 90.00 90.00 90.00
Site moments in Bohr magnetons follow the coordinates.
Element x y z (fractional)
Fe (0.0000, 0.5000, 0.0000)  2.49
B (0.5000, 0.5000, 0.5000)  -0.07
Fe (0.5000, 0.0000, 0.0000)  2.23
Al (0.0000, 0.0000, 0.0000)  -0.11
Fe (0.0000, 0.0000, 0.5000)  2.61

## Properties
- formation enthalpy at 0 K (eV/atom) = 1.84
- energy above the most stable polymorph in this dataset (meV/atom) = 1990.1
- final energy (eV per atom) = -5.326



First-principles (PBE-GGA) data for a relaxed AlFe2B4 crystal, as listed in the Alexandria database.

Lattice parameters (Å, degrees): 2.9347 3.1548 6.5029 104.04 103.04 90.00
Site moments in Bohr magnetons follow the coordinates.
Element x y z (fractional)
B (0.3502, 0.3502, 0.7005)  -0.03
Fe (0.1834, 0.1834, 0.3668)  1.03
B (0.6498, 0.6498, 0.2995)  -0.03
Al (0.5000, 0.0000, 0.0000)  -0.01
B (0.9292, 0.4292, 0.8585)  -0.01
Fe (0.8166, 0.8166, 0.6332)  1.03
B (0.0708, 0.5708, 0.1415)  -0.01

## Properties
- formation enthalpy at 0 K (eV/atom) = -0.19
- final energy (eV per atom) = -6.954



First-principles (PBE-GGA) data for a relaxed AlFeB crystal, as listed in the Alexandria database.

Lattice parameters (Å, degrees): 2.9494 3.4778 3.4778 120.00 90.00 90.00
Element x y z (fractional)
Al (0.6665, 0.6667, 0.3333)
B (0.1668, 0.0000, 0.0000)
Fe (0.1666, 0.3333, 0.6667)

## Properties
- formation enthalpy at 0 K (eV/atom) = -0.13
- energy above the most stable polymorph in this dataset (meV/atom) = 147.5
- final energy (eV per atom) = -6.426



First-principles (PBE-GGA) data for a relaxed Al2FeB2 crystal, as listed in the Alexandria database.

Lattice parameters (Å, degrees): 5.5310 5.5310 3.1518 90.00 90.00 90.00
Site moments in Bohr magnetons follow the coordinates.
Element x y z (fractional)
Al (0.3149, 0.1851, 0.5000)  0.00
B (0.1093, 0.3907, 0.0000)  -0.01
Al (0.8149, 0.3149, 0.5000)  0.00
Al (0.1851, 0.6851, 0.5000)  0.00
B (0.6093, 0.1093, 0.0000)  -0.01
Al (0.6851, 0.8149, 0.5000)  0.00
Fe (0.5000, 0.5000, 0.0000)  0.21
B (0.8907, 0.6093, 0.0000)  -0.01
B (0.3907, 0.8907, 0.0000)  -0.01
Fe (0.0000, 0.0000, 0.0000)  0.21

## Properties
- formation enthalpy at 0 K (eV/atom) = -0.20
- final energy (eV per atom) = -6.061



First-principles (PBE-GGA) data for a relaxed AlFeB crystal, as listed in the Alexandria database.

Lattice parameters (Å, degrees): 5.3622 5.3622 5.6599 108.98 108.98 108.27
Element x y z (fractional)
B (0.0773, 0.9227, 0.5000)
B (0.4227, 0.5773, 0.5000)
Fe (0.1093, 0.6093, 0.2187)
Al (0.6250, 0.3750, 0.2500)
Fe (0.1407, 0.1407, 0.2813)
Al (0.6250, 0.8750, 0.2500)
Al (0.1250, 0.3750, 0.7500)
B (0.1727, 0.8273, 0.0000)
Fe (0.8593, 0.8593, 0.7187)
Fe (0.3907, 0.8907, 0.7813)
B (0.8273, 0.1727, 0.0000)
Al (0.6250, 0.3750, 0.7500)

## Properties
- formation enthalpy at 0 K (eV/atom) = -0.10
- energy above the most stable polymorph in this dataset (meV/atom) = 178.5
- final energy (eV per atom) = -6.395



First-principles (PBE-GGA) data for a relaxed AlFeB3 crystal, as listed in the Alexandria database.

Lattice parameters (Å, degrees): 3.8002 3.8002 3.8002 90.00 90.00 90.00
Site moments in Bohr magnetons follow the coordinates.
Element x y z (fractional)
Al (0.5000, 0.5000, 0.5000)  0.00
Fe (0.0000, 0.0000, 0.0000)  0.09
B (0.5000, 0.0000, 0.0000)  0.00
B (0.0000, 0.5000, 0.0000)  0.00
B (0.0000, 0.0000, 0.5000)  0.00

## Properties
- formation enthalpy at 0 K (eV/atom) = 0.85
- energy above the most stable polymorph in this dataset (meV/atom) = 0.0
- final energy (eV per atom) = -5.599



First-principles (PBE-GGA) data for a relaxed AlFe6B2 crystal, as listed in the Alexandria database.

Lattice parameters (Å, degrees): 6.2032 6.2032 6.2032 102.70 111.12 114.82
Site moments in Bohr magnetons follow the coordinates.
Element x y z (fractional)
Fe (0.6995, 0.0190, 0.3195)  1.90
Fe (0.4883, 0.2934, 0.1949)  1.76
Fe (0.6995, 0.3800, 0.6805)  1.90
Fe (0.2164, 0.7530, 0.9695)  2.16
Al (0.0000, 0.5000, 0.5000)  -0.07
Fe (0.3005, 0.9810, 0.6805)  1.90
Fe (0.0985, 0.2934, 0.8051)  1.76
B (0.3567, 0.0000, 0.3567)  -0.13
Fe (0.5117, 0.7066, 0.8051)  1.76
B (0.5000, 0.6156, 0.1156)  -0.13
Fe (0.7836, 0.2470, 0.0305)  2.16
Fe (0.9015, 0.7066, 0.1949)  1.76
B (0.5000, 0.3844, 0.8844)  -0.13
Fe (0.3005, 0.6200, 0.3195)  1.90
Al (0.0000, 0.0000, 0.0000)  -0.06
B (0.6433, 0.0000, 0.6433)  -0.13
Fe (0.2164, 0.2470, 0.4634)  2.16
Fe (0.7836, 0.7530, 0.5366)  2.16

## Properties
- formation enthalpy at 0 K (eV/atom) = -0.23
- final energy (eV per atom) = -7.769



First-principles (PBE-GGA) data for a relaxed AlFe4B crystal, as listed in the Alexandria database.

Lattice parameters (Å, degrees): 4.9401 5.7335 6.2600 120.62 117.01 82.52
Site moments in Bohr magnetons follow the coordinates.
Element x y z (fractional)
Fe (0.6891, 0.4990, 0.3934)  2.25
Fe (0.7957, 0.1056, 0.6066)  2.25
Fe (0.4867, 0.9083, 0.1276)  1.90
B (0.1076, 0.8576, 0.7152)  -0.15
Al (0.2288, 0.4788, 0.9575)  -0.06
Fe (0.1409, 0.2193, 0.1276)  1.90
Fe (0.5133, 0.0917, 0.8724)  1.90
Fe (0.2043, 0.8944, 0.3934)  2.25
Fe (0.8591, 0.7807, 0.8724)  1.90
Al (0.7712, 0.5212, 0.0425)  -0.06
Fe (0.3109, 0.5010, 0.6066)  2.25
B (0.8924, 0.1424, 0.2848)  -0.15

## Properties
- formation enthalpy at 0 K (eV/atom) = 0.04
- energy above the most stable polymorph in this dataset (meV/atom) = 0.0
- final energy (eV per atom) = -7.337



First-principles (PBE-GGA) data for a relaxed AlFeB3 crystal, as listed in the Alexandria database.

Lattice parameters (Å, degrees): 3.9928 3.9928 3.9928 90.00 90.00 90.00
Element x y z (fractional)
Fe (0.5000, 0.5000, 0.5000)
B (0.0000, 0.5000, 0.0000)
B (0.0000, 0.0000, 0.5000)
B (0.5000, 0.0000, 0.0000)
Al (0.0000, 0.0000, 0.0000)

## Properties
- formation enthalpy at 0 K (eV/atom) = 2.22
- energy above the most stable polymorph in this dataset (meV/atom) = 1370.0
- final energy (eV per atom) = -4.229



First-principles (PBE-GGA) data for a relaxed AlFeB2 crystal, as listed in the Alexandria database.

Lattice parameters (Å, degrees): 3.4406 3.4406 7.6337 76.98 76.98 90.00
Site moments in Bohr magnetons follow the coordinates.
Element x y z (fractional)
B (0.8750, 0.1250, 0.2500)  0.00
Fe (0.0000, 0.0000, 0.0000)  0.73
Al (0.2500, 0.7500, 0.5000)  -0.02
B (0.3750, 0.1250, 0.7500)  0.00
Fe (0.7500, 0.2500, 0.5000)  0.73
B (0.8750, 0.1250, 0.7500)  0.00
Al (0.5000, 0.5000, 0.0000)  -0.02
B (0.8750, 0.6250, 0.2500)  0.00

## Properties
- formation enthalpy at 0 K (eV/atom) = 0.19
- final energy (eV per atom) = -6.203



First-principles (PBE-GGA) data for a relaxed AlFe3B crystal, as listed in the Alexandria database.

Lattice parameters (Å, degrees): 3.8127 3.8127 3.8127 90.00 90.00 90.00
Site moments in Bohr magnetons follow the coordinates.
Element x y z (fractional)
Al (0.5000, 0.5000, 0.5000)  -0.07
Fe (0.0000, 0.0000, 0.5000)  1.70
B (0.0000, 0.0000, 0.0000)  -0.13
Fe (0.0000, 0.5000, 0.0000)  1.57
Fe (0.5000, 0.0000, 0.0000)  1.12

## Properties
- formation enthalpy at 0 K (eV/atom) = -0.14
- energy above the most stable polymorph in this dataset (meV/atom) = 9.5
- final energy (eV per atom) = -7.306